1.
Material: ZnHg3Te
Method: DFT, GGA-PBE
State: relaxed

Cell and atoms, written as POSCAR:
```
ZnHg3Te
1.0
5.2541 0.0000 0.0000
0.0000 5.2541 0.0000
0.0000 0.0000 5.2541
Zn Hg Te
1 3 1
Cartesian
0.0000 0.0000 0.0000 Zn
0.0000 0.0000 2.6270 Hg
0.0000 2.6270 0.0000 Hg
2.6270 0.0000 0.0000 Hg
2.6270 2.6270 2.6270 Te
```

Crystal system: cubic
Raw total energy (eV per atom): -0.871
Relative energy among the computed polymorphs (meV/atom): 0
Formation energy (no corrections) (eV per atom): 0.193

***

2.
Material: K2SbI
Method: DFT, GGA-PBE
State: relaxed

Cell and atoms, written as POSCAR:
```
K2SbI
1.0
8.7034 0.0000 0.0000
0.0000 8.7034 0.0000
0.0000 0.0000 8.7034
K Sb I
8 4 4
Cartesian
2.1758 2.1758 2.1758 K
2.1758 2.1758 6.5275 K
2.1758 6.5275 2.1758 K
2.1758 6.5275 6.5275 K
6.5275 2.1758 2.1758 K
6.5275 2.1758 6.5275 K
6.5275 6.5275 2.1758 K
6.5275 6.5275 6.5275 K
0.0000 0.0000 0.0000 Sb
0.0000 4.3517 4.3517 Sb
4.3517 0.0000 4.3517 Sb
4.3517 4.3517 0.0000 Sb
0.0000 0.0000 4.3517 I
0.0000 4.3517 0.0000 I
4.3517 0.0000 0.0000 I
4.3517 4.3517 4.3517 I
```

Crystal system: cubic
Raw total energy (eV per atom): -2.465
Relative energy among the computed polymorphs (meV/atom): 0
Formation energy (no corrections) (eV per atom): -0.499

***

3.
Material: Y3Cu
Method: DFT, GGA-PBE
State: relaxed

Cell and atoms, written as POSCAR:
```
Y3Cu
1.0
7.1921 0.0000 0.0000
0.0000 7.8087 0.0000
0.0000 0.0000 3.7968
Y Cu
6 2
Cartesian
0.0000 0.0000 0.0000 Y
1.7980 1.9522 1.8984 Y
1.7980 5.8566 1.8984 Y
3.5961 3.9044 0.0000 Y
5.3941 1.9522 1.8984 Y
5.3941 5.8566 1.8984 Y
0.0000 3.9044 0.0000 Cu
3.5961 0.0000 0.0000 Cu
```

Crystal system: orthorhombic
Raw total energy (eV per atom): -5.721
Energy of formation from the pure elements (kJ per mole of atoms): 15

***

4.
Material: Sr6CaCd2
Method: DFT, GGA-PBE
State: relaxed

Cell and atoms, written as POSCAR:
```
Sr6CaCd2
1.0
7.2360 -2.0805 0.0000
7.2360 2.0805 0.0000
-4.5796 0.0000 13.0681
Sr Ca Cd
6 1 2
Cartesian
-0.8827 0.0000 4.1601 Sr
4.0082 0.0000 1.5987 Sr
2.8189 0.0000 5.3068 Sr
7.0736 0.0000 7.7613 Sr
5.8843 0.0000 11.4694 Sr
10.7752 0.0000 8.9080 Sr
0.0000 0.0000 0.0000 Ca
1.2897 0.0000 10.5922 Cd
8.6028 0.0000 2.4759 Cd
```

Crystal system: monoclinic
Raw total energy (eV per atom): -1.651
Energy of formation from the pure elements (kJ per mole of atoms): -10

***

5.
Material: ZrTlAu4
Method: DFT, GGA-PBE
State: relaxed

Cell and atoms, written as POSCAR:
```
ZrTlAu4
1.0
0.0000 3.9477 3.9477
3.9477 0.0000 3.9477
3.9477 3.9477 0.0000
Zr Tl Au
1 1 4
Cartesian
0.0000 0.0000 0.0000 Zr
1.9739 1.9739 1.9739 Tl
4.9376 2.9579 2.9579 Au
2.9579 4.9376 2.9579 Au
2.9579 2.9579 4.9376 Au
4.9376 4.9376 4.9376 Au
```

Crystal system: cubic
Raw total energy (eV per atom): -4.017
Energy of formation from the pure elements (kJ per mole of atoms): -1

***

6.
Material: PaSnP2
Method: DFT, GGA-PBE
State: relaxed

Cell and atoms, written as POSCAR:
```
PaSnP2
1.0
4.0296 0.0000 0.0000
-2.0148 3.4898 0.0000
0.0000 0.0000 20.7132
Pa Sn P
3 3 6
Cartesian
0.0000 0.0000 0.0000 Pa
0.0000 2.3265 13.8088 Pa
2.0148 1.1633 6.9044 Pa
0.0000 0.0000 10.3566 Sn
0.0000 2.3265 3.4522 Sn
2.0148 1.1633 17.2610 Sn
0.0000 0.0000 5.3517 P
0.0000 0.0000 15.3614 P
0.0000 2.3265 8.4570 P
0.0000 2.3265 19.1605 P
2.0148 1.1633 1.5527 P
2.0148 1.1633 12.2561 P
```

Crystal system: trigonal
Raw total energy (eV per atom): -6.581
Energy of formation from the pure elements (kJ per mole of atoms): -48
Relative energy among the computed polymorphs (meV/atom): 92

***

7.
Material: BeP2Ru
Method: DFT, GGA-PBE
State: relaxed

Cell and atoms, written as POSCAR:
```
BeP2Ru
1.0
3.7747 0.0000 0.0000
0.0000 3.2088 0.0000
0.0000 0.0000 8.4506
Be P Ru
2 4 2
Cartesian
0.0000 0.0000 0.0000 Be
0.0000 1.6044 4.2253 Be
0.0000 0.0000 2.1567 P
0.0000 1.6044 6.3820 P
1.8873 0.0000 4.5866 P
1.8873 1.6044 0.3613 P
1.8873 0.0000 7.0257 Ru
1.8873 1.6044 2.8004 Ru
```

Crystal system: orthorhombic
Raw total energy (eV per atom): -6.063
Energy of formation from the pure elements (kJ per mole of atoms): -10

***

8.
Material: Ca2NiAg
Method: DFT, GGA-PBE
State: relaxed

Cell and atoms, written as POSCAR:
```
Ca2NiAg
1.0
3.5497 0.0000 0.0000
0.0000 3.5497 0.0000
0.0000 0.0000 7.9466
Ca Ni Ag
2 1 1
Cartesian
0.0000 0.0000 0.0000 Ca
1.7749 1.7749 3.2037 Ca
0.0000 0.0000 4.9654 Ni
1.7749 1.7749 6.1050 Ag
```

Crystal system: tetragonal
Raw total energy (eV per atom): -3.132
Energy of formation from the pure elements (kJ per mole of atoms): 3

***

9.
Material: NbZnPt14
Method: DFT, GGA-PBE
State: relaxed

Cell and atoms, written as POSCAR:
```
NbZnPt14
1.0
5.6320 0.0000 0.0000
0.0000 5.6320 0.0000
0.0000 0.0000 7.8829
Nb Zn Pt
1 1 14
Cartesian
0.0000 0.0000 0.0000 Nb
2.8160 2.8160 0.0000 Zn
0.0000 0.0000 3.9414 Pt
0.0000 2.8160 0.0000 Pt
0.0000 2.8160 3.9414 Pt
1.4059 1.4059 1.9281 Pt
1.4059 1.4059 5.9548 Pt
1.4059 4.2260 1.9281 Pt
1.4059 4.2260 5.9548 Pt
2.8160 0.0000 0.0000 Pt
2.8160 0.0000 3.9414 Pt
2.8160 2.8160 3.9414 Pt
4.2260 1.4059 1.9281 Pt
4.2260 1.4059 5.9548 Pt
4.2260 4.2260 1.9281 Pt
4.2260 4.2260 5.9548 Pt
```

Crystal system: tetragonal
Raw total energy (eV per atom): -6.272
Energy of formation from the pure elements (kJ per mole of atoms): -27

***

10.
Material: Ca2AcI
Method: DFT, GGA-PBE
State: relaxed

Cell and atoms, written as POSCAR:
```
Ca2AcI
1.0
3.8902 0.0000 0.0000
0.0000 3.8902 0.0000
0.0000 0.0000 10.4611
Ca Ac I
2 1 1
Cartesian
0.0000 0.0000 2.3570 Ca
0.0000 0.0000 8.1041 Ca
1.9451 1.9451 5.2305 Ac
1.9451 1.9451 0.0000 I
```

Crystal system: tetragonal
Raw total energy (eV per atom): -2.871
Relative energy among the computed polymorphs (meV/atom): 82
Formation energy (no corrections) (eV per atom): -0.456

***

11.
Material: CaTe2Au
Method: DFT, GGA-PBE
State: relaxed

Cell and atoms, written as POSCAR:
```
CaTe2Au
1.0
12.1137 0.0000 0.0000
0.0000 4.3102 0.0000
-0.3393 0.0000 4.8234
Ca Te Au
2 4 2
Cartesian
0.0000 0.0000 0.0000 Ca
6.0568 2.1551 0.0000 Ca
0.1298 2.1551 2.4583 Te
3.4009 0.0000 0.6199 Te
6.1867 0.0000 2.4583 Te
9.4578 2.1551 0.6199 Te
2.2620 2.1551 4.0788 Au
8.3188 0.0000 4.0788 Au
```

Crystal system: monoclinic
Raw total energy (eV per atom): -3.582
Formation energy (no corrections) (eV per atom): -0.691

***

12.
Material: PmGe2Pt
Method: DFT, GGA-PBE
State: relaxed

Cell and atoms, written as POSCAR:
```
PmGe2Pt
1.0
-2.2168 4.4222 8.2891
2.2168 -4.4222 8.2891
2.2168 4.4222 -8.2891
Pm Ge Pt
4 8 4
Cartesian
0.0000 0.0000 3.3611 Pm
0.0000 2.1209 0.0000 Pm
0.0000 6.7235 0.0000 Pm
0.0000 0.0000 13.2170 Pm
2.2168 0.0000 1.2322 Ge
2.2168 -1.3320 5.0031 Ge
0.0000 0.0000 7.0555 Ge
2.2168 1.3320 5.0031 Ge
0.0000 3.0903 3.2860 Ge
0.0000 0.0000 9.5226 Ge
0.0000 5.7542 3.2860 Ge
0.0000 4.4222 7.0569 Ge
2.2168 2.2268 -2.4707 Pt
2.2168 2.2268 2.4707 Pt
0.0000 2.1954 5.8183 Pt
0.0000 2.1954 10.7598 Pt
```

Crystal system: orthorhombic
Raw total energy (eV per atom): -5.914
Energy of formation from the pure elements (kJ per mole of atoms): -88
Relative energy among the computed polymorphs (meV/atom): 0

***

Which value of raw total energy does entry 1 give?
-0.871 eV per atom

***

Repeat the fifth record exactly.
Material: ZrTlAu4
Method: DFT, GGA-PBE
State: relaxed

Cell and atoms, written as POSCAR:
```
ZrTlAu4
1.0
0.0000 3.9477 3.9477
3.9477 0.0000 3.9477
3.9477 3.9477 0.0000
Zr Tl Au
1 1 4
Cartesian
0.0000 0.0000 0.0000 Zr
1.9739 1.9739 1.9739 Tl
4.9376 2.9579 2.9579 Au
2.9579 4.9376 2.9579 Au
2.9579 2.9579 4.9376 Au
4.9376 4.9376 4.9376 Au
```

Crystal system: cubic
Raw total energy (eV per atom): -4.017
Energy of formation from the pure elements (kJ per mole of atoms): -1

***

What did the fifth record say?
Material: ZrTlAu4
Method: DFT, GGA-PBE
State: relaxed

Cell and atoms, written as POSCAR:
```
ZrTlAu4
1.0
0.0000 3.9477 3.9477
3.9477 0.0000 3.9477
3.9477 3.9477 0.0000
Zr Tl Au
1 1 4
Cartesian
0.0000 0.0000 0.0000 Zr
1.9739 1.9739 1.9739 Tl
4.9376 2.9579 2.9579 Au
2.9579 4.9376 2.9579 Au
2.9579 2.9579 4.9376 Au
4.9376 4.9376 4.9376 Au
```

Crystal system: cubic
Raw total energy (eV per atom): -4.017
Energy of formation from the pure elements (kJ per mole of atoms): -1

***

The highest raw total energy belongs to which entry?
ZnHg3Te